Record 1
Computed, not measured: a geometry-optimized Ba2CaI6 structure at the PBE-GGA level of DFT.

Output
Uncorrected formation energy: -39.685 kcal/mol of atoms
Total DFT energy (no corrections): -3.404 eV per atom

a = 7.8768 Å, b = 9.0800 Å, c = 13.6175 Å
α = 90.00°, β = 124.11°, γ = 90.00°
With the nearest neighbours (Å) after each atom.
Space group P2_1/c (No. 14)
Unique sites:
Ba (0.2138, 0.1114, 0.2530) (multiplicity 4)  7 I 3.48-3.89
Ca (0.5000, 0.0000, 0.0000) (multiplicity 2)  6 I 3.10-3.16
I (0.1080, 0.1710, 0.9385) (multiplicity 4)  1 Ca 3.12
I (0.2792, 0.6911, 0.9412) (multiplicity 4)  1 Ca 3.16
I (0.3657, 0.0337, 0.7394) (multiplicity 4)  1 Ca 3.10

Record 2
Computed, not measured: a geometry-optimized In12Sb5Pd3 structure at the PBE-GGA level of DFT.

Output
Uncorrected formation energy: -1.475 kcal/mol of atoms
Total DFT energy (no corrections): -3.517 eV per atom

a = 16.7310 Å, b = 16.7310 Å, c = 16.7310 Å
α = 90.00°, β = 90.00°, γ = 90.00°
With the nearest neighbours (Å) after each atom.
Space group Ia-3d (No. 230)
Unique sites:
In (0.0193, 0.0918, 0.6514) (multiplicity 96)  1 Pd 2.70, 2 Sb 2.86-2.98, 1 In 3.00
Sb (0.0000, 0.0000, 0.0000) (multiplicity 16)  6 In 2.98
Sb (0.0000, 0.2500, 0.3750) (multiplicity 24)  4 In 2.86
Pd (0.0000, 0.2500, 0.1250) (multiplicity 24)  4 In 2.70

Record 3
Computed, not measured: a geometry-optimized Ba2PaI8 structure at the PBE-GGA level of DFT.

Output
Uncorrected formation energy: -31.284 kcal/mol of atoms
Total DFT energy (no corrections): -3.697 eV per atom

a = 17.6498 Å, b = 7.7337 Å, c = 8.6207 Å
α = 90.00°, β = 91.27°, γ = 90.00°
With the nearest neighbours (Å) after each atom.
Space group C2/m (No. 12)
Unique sites:
Ba (0.1359, 0.0000, 0.0432) (multiplicity 4)  4 I 3.33-3.67
Pa (0.0000, 0.0000, 0.5000) (multiplicity 2)  6 I 3.04
I (0.0210, 0.2547, 0.7664) (multiplicity 8)  1 Pa 3.04
I (0.1694, 0.0000, 0.4464) (multiplicity 4)  1 Pa 3.04
I (0.1855, 0.5000, 0.0744) (multiplicity 4)  1 Ba 3.33

Record 4
Computed, not measured: a geometry-optimized SiB3I structure at the PBE-GGA level of DFT.

Output
Distance to the lowest polymorph of the same formula: 1.148 eV/atom
Uncorrected formation energy: 63.301 kcal/mol of atoms
Total DFT energy (no corrections): -2.656 eV per atom

a = 4.3930 Å, b = 4.3930 Å, c = 4.3930 Å
α = 90.00°, β = 90.00°, γ = 90.00°
With the nearest neighbours (Å) after each atom.
Space group Pm-3m (No. 221)
Unique sites:
Si (0.0000, 0.0000, 0.0000) (multiplicity 1)  12 B 3.11
B (0.0000, 0.5000, 0.5000) (multiplicity 3)  2 I 2.20
I (0.5000, 0.5000, 0.5000) (multiplicity 1)  6 B 2.20

Record 5
Computed, not measured: a geometry-optimized La6PdRu2Br3 structure at the PBE-GGA level of DFT.

Output
Uncorrected formation energy: -23.423 kcal/mol of atoms
Total DFT energy (no corrections): -5.876 eV per atom

a = 19.9496 Å, b = 4.1881 Å, c = 9.3354 Å
α = 90.00°, β = 111.46°, γ = 90.00°
With the nearest neighbours (Å) after each atom.
Space group C2/m (No. 12)
Unique sites:
La (0.0181, 0.0000, 0.2339) (multiplicity 4)  1 Ru 2.70, 2 Pd 2.95
La (0.1601, 0.5000, 0.1207) (multiplicity 4)  2 Ru 2.85, 1 Pd 2.97
La (0.1796, 0.5000, 0.5547) (multiplicity 4)  3 Ru 2.90-2.92
Pd (0.0000, 0.5000, 0.0000) (multiplicity 2)  6 La 2.95-2.97
Ru (0.1633, 0.0000, 0.3301) (multiplicity 4)  6 La 2.70-2.92
Br (0.0000, 0.5000, 0.5000) (multiplicity 2)  6 La 3.37-3.43
Br (0.1672, 0.0000, 0.8330) (multiplicity 4)  6 La 3.31-3.52

Record 6
Computed, not measured: a geometry-optimized LiAg structure at the PBE-GGA level of DFT.

Output
Total DFT energy (no corrections): -2.521 eV per atom

a = 2.9732 Å, b = 2.9732 Å, c = 13.0210 Å
α = 90.00°, β = 90.00°, γ = 120.00°
With the nearest neighbours (Å) after each atom.
Space group R-3m (No. 166, hexagonal axes)
Unique sites:
Li (0.0000, 0.0000, 0.0000) (multiplicity 3)  6 Ag 2.77, 6 Li 2.97
Ag (0.0000, 0.0000, 0.5000) (multiplicity 3)  6 Li 2.77, 6 Ag 2.97

Copy entry 2 word for word.
Computed, not measured: a geometry-optimized In12Sb5Pd3 structure at the PBE-GGA level of DFT.

Output
Uncorrected formation energy: -1.475 kcal/mol of atoms
Total DFT energy (no corrections): -3.517 eV per atom

a = 16.7310 Å, b = 16.7310 Å, c = 16.7310 Å
α = 90.00°, β = 90.00°, γ = 90.00°
With the nearest neighbours (Å) after each atom.
Space group Ia-3d (No. 230)
Unique sites:
In (0.0193, 0.0918, 0.6514) (multiplicity 96)  1 Pd 2.70, 2 Sb 2.86-2.98, 1 In 3.00
Sb (0.0000, 0.0000, 0.0000) (multiplicity 16)  6 In 2.98
Sb (0.0000, 0.2500, 0.3750) (multiplicity 24)  4 In 2.86
Pd (0.0000, 0.2500, 0.1250) (multiplicity 24)  4 In 2.70

Copy entry 3 word for word.
Computed, not measured: a geometry-optimized Ba2PaI8 structure at the PBE-GGA level of DFT.

Output
Uncorrected formation energy: -31.284 kcal/mol of atoms
Total DFT energy (no corrections): -3.697 eV per atom

a = 17.6498 Å, b = 7.7337 Å, c = 8.6207 Å
α = 90.00°, β = 91.27°, γ = 90.00°
With the nearest neighbours (Å) after each atom.
Space group C2/m (No. 12)
Unique sites:
Ba (0.1359, 0.0000, 0.0432) (multiplicity 4)  4 I 3.33-3.67
Pa (0.0000, 0.0000, 0.5000) (multiplicity 2)  6 I 3.04
I (0.0210, 0.2547, 0.7664) (multiplicity 8)  1 Pa 3.04
I (0.1694, 0.0000, 0.4464) (multiplicity 4)  1 Pa 3.04
I (0.1855, 0.5000, 0.0744) (multiplicity 4)  1 Ba 3.33

Repeat the first record exactly.
Computed, not measured: a geometry-optimized Ba2CaI6 structure at the PBE-GGA level of DFT.

Output
Uncorrected formation energy: -39.685 kcal/mol of atoms
Total DFT energy (no corrections): -3.404 eV per atom

a = 7.8768 Å, b = 9.0800 Å, c = 13.6175 Å
α = 90.00°, β = 124.11°, γ = 90.00°
With the nearest neighbours (Å) after each atom.
Space group P2_1/c (No. 14)
Unique sites:
Ba (0.2138, 0.1114, 0.2530) (multiplicity 4)  7 I 3.48-3.89
Ca (0.5000, 0.0000, 0.0000) (multiplicity 2)  6 I 3.10-3.16
I (0.1080, 0.1710, 0.9385) (multiplicity 4)  1 Ca 3.12
I (0.2792, 0.6911, 0.9412) (multiplicity 4)  1 Ca 3.16
I (0.3657, 0.0337, 0.7394) (multiplicity 4)  1 Ca 3.10

Which of these has the highest total DFT energy (no corrections)? LiAg